Entry 1:
Below is LiSiIr3 after structural relaxation, with properties calculated at the PBE-GGA level.

Calculated values
Crystal system: cubic
SG: No. 221
Formation energy from raw total energies: 490 meV/atom
Distance to the lowest polymorph of the same formula: 0.000 eV per formula unit
Uncorrected energy: -6.29 eV per atom

The structure in POSCAR format:
```
LiSiIr3
1.0
-3.334 2.377 1.699
-2.456 -0.883 -3.584
-1.583 -3.636 1.981
Ir Li Si
3 1 1
Cartesian
-1.667 1.189 0.849
-1.228 -0.441 -1.792
-0.792 -1.818 0.990
-3.686 -1.071 0.048
0.000 0.000 0.000
```

---

Entry 2:
Below is Li2SiIr after structural relaxation, with properties calculated at the PBE-GGA level.

Calculated values
Crystal system: orthorhombic
SG: No. 38
Formation energy from raw total energies: -392 meV/atom
Uncorrected energy: -4.92 eV per atom

The structure in POSCAR format:
```
Li2SiIr
1.0
3.790 0.000 0.000
0.000 2.793 0.001
0.000 1.391 5.085
Li Si Ir
2 1 1
Cartesian
1.895 1.571 1.156
0.000 0.175 0.170
0.000 1.567 2.747
1.895 2.964 3.556
```